Record 1
A plane-wave DFT calculation with PBE was carried out for crystalline PuMgIn4 at its relaxed geometry.

Structure (POSCAR):
```
PuMgIn4
1.0
-5.748 -1.847 0.702
-2.890 -2.748 -4.587
-1.266 -5.936 0.327
In Mg Pu
4 1 1
Direct
0.124 0.625 0.625 In
0.625 0.625 0.124 In
0.625 0.124 0.625 In
0.625 0.625 0.625 In
0.250 0.250 0.250 Mg
0.000 0.000 0.000 Pu
```

Properties
Space group: F-43m
DFT formation energy: 26 meV per atom
Crystal system: cubic

***

Record 2
A plane-wave DFT calculation with PBE was carried out for crystalline HfTaCd2F at its relaxed geometry.

Structure (POSCAR):
```
HfTaCd2F
1.0
-4.067 2.370 -2.694
-2.380 -0.674 3.000
1.361 4.787 2.156
Hf F Cd Ta
1 1 2 1
Direct
0.500 0.500 0.500 Hf
0.000 0.500 0.000 F
0.000 0.000 0.500 Cd
0.500 0.000 0.000 Cd
0.000 0.000 0.000 Ta
```

Properties
Space group: P4/mmm
E_form (uncorrected): 0.28 eV/atom
Crystal system: tetragonal

***

Record 3
A plane-wave DFT calculation with PBE was carried out for crystalline SrGa2Cu3 at its relaxed geometry.

Structure (POSCAR):
```
SrGa2Cu3
1.0
5.321 0.000 0.000
0.000 6.474 -0.041
0.000 -1.340 6.334
Sr Ga Cu
2 4 6
Direct
0.250 0.321 0.321 Sr
0.750 0.679 0.679 Sr
0.500 0.208 0.792 Ga
0.000 0.792 0.208 Ga
0.000 0.208 0.792 Ga
0.500 0.792 0.208 Ga
0.250 0.926 0.926 Cu
0.250 0.915 0.536 Cu
0.750 0.085 0.464 Cu
0.750 0.464 0.085 Cu
0.250 0.536 0.915 Cu
0.750 0.074 0.074 Cu
```

Properties
Space group: Cmcm
DFT formation energy: -240 meV per atom
Crystal system: orthorhombic

***

Record 4
A plane-wave DFT calculation with PBE was carried out for crystalline CoCuPd3 at its relaxed geometry.

Structure (POSCAR):
```
CoCuPd3
1.0
2.739 0.299 0.254
-0.597 5.975 -0.569
0.681 -0.705 8.609
Cu Co Pd
2 2 6
Direct
0.522 0.291 0.211 Cu
0.521 0.863 0.211 Cu
0.719 0.684 0.817 Co
0.325 0.470 0.604 Co
0.911 0.137 0.434 Pd
0.935 0.620 0.384 Pd
0.133 0.017 0.988 Pd
0.109 0.534 0.038 Pd
0.312 0.894 0.631 Pd
0.732 0.260 0.791 Pd
```

Properties
Space group: P-1
DFT formation energy: -21 meV per atom
Crystal system: triclinic

***

Record 5
A plane-wave DFT calculation with PBE was carried out for crystalline UFeCo2P2 at its relaxed geometry.

Structure (POSCAR):
```
UFeCo2P2
1.0
4.314 0.000 0.000
0.000 4.314 0.000
0.000 0.000 4.682
Co P Fe U
2 2 1 1
Direct
0.500 0.500 0.255 Co
0.500 0.500 0.745 Co
0.500 0.000 0.000 P
0.000 0.500 0.000 P
0.000 0.000 0.000 Fe
0.000 0.000 0.500 U
```

Properties
Space group: P4/mmm
DFT formation energy: -39 meV per atom
Crystal system: tetragonal

***

Record 6
A plane-wave DFT calculation with PBE was carried out for crystalline Sm6Y16Tm7 at its relaxed geometry.

Structure (POSCAR):
```
Sm6Y16Tm7
1.0
9.667 0.000 5.581
3.222 9.114 5.581
0.000 0.000 11.162
Tm Y Sm
7 16 6
Direct
0.500 0.500 0.000 Tm
0.000 0.500 0.500 Tm
0.500 0.000 0.500 Tm
0.000 0.000 0.500 Tm
0.000 0.000 0.000 Tm
0.500 0.000 0.000 Tm
0.000 0.500 0.000 Tm
0.654 0.654 0.654 Y
0.654 0.037 0.654 Y
0.346 0.346 0.963 Y
0.879 0.879 0.879 Y
0.654 0.654 0.037 Y
0.879 0.363 0.879 Y
0.346 0.346 0.346 Y
0.637 0.121 0.121 Y
0.121 0.121 0.121 Y
0.363 0.879 0.879 Y
0.037 0.654 0.654 Y
0.121 0.637 0.121 Y
0.121 0.121 0.637 Y
0.879 0.879 0.363 Y
0.963 0.346 0.346 Y
0.346 0.963 0.346 Y
0.716 0.284 0.716 Sm
0.716 0.284 0.284 Sm
0.284 0.716 0.716 Sm
0.716 0.716 0.284 Sm
0.284 0.716 0.284 Sm
0.284 0.284 0.716 Sm
```

Properties
Space group: Fm-3m
DFT formation energy: 238 meV per atom
Crystal system: cubic